Computed, not measured: AlMoW2 after structural relaxation at the PBE level of DFT.

Cell lengths 6.311, 6.311, 6.311 Å; angles 90.00, 90.00, 90.00 degrees
Space group F-43m (No. 216)
One atom of each set of equivalent atoms:
Al: 0.000 0.000 0.000
Mo: 0.250 0.250 0.250
W: 0.000 0.000 0.500
W: 0.250 0.250 0.750

- Total energy: -160.8 eV for the cell shown
- Formation energy: 68 meV per atom
- D(E_F): 15.9 states/eV/cell
- Crystal system: cubic